(1)
A geometry-optimized Ce6Pu structure. Source: Alexandria, functional GGA-PBE.

abc: 6.605 6.605 6.605
angles: 109.47 109.47 109.47
Last column: magnetic moment on the atom in μB.
Positions (direct):
Ce  0.500  0.250  0.750  0.38
Pu  0.000  0.000  0.000  5.63
Ce  0.750  0.500  0.250  0.38
Ce  0.750  0.250  0.500  0.38
Ce  0.250  0.750  0.500  0.38
Ce  0.250  0.500  0.750  0.38
Ce  0.500  0.750  0.250  0.38

E above lowest polymorph ... 805 meV per atom
Total DFT energy (no corrections) ... -0.23421 Ha/atom
Total magnetization ... 9.05 μB per formula unit
D(E_F) ... 4.96 states/eV/atom

---

(2)
A geometry-optimized CdTcRh2 structure. Source: Alexandria, functional GGA-PBE.

abc: 4.878 4.878 4.829
angles: 79.70 79.70 33.38
Positions (direct):
Rh  0.992  0.992  0.992
Rh  0.249  0.249  0.278
Cd  0.748  0.748  0.771
Tc  0.511  0.511  0.459

Total DFT energy (no corrections) ... -0.23516 Ha/atom
Total magnetization ... 0.00 μB per formula unit
D(E_F) ... 1.05 states/eV/atom

---

(3)
A geometry-optimized Tb2Sm3PuTe6 structure. Source: Alexandria, functional GGA-PBE.

abc: 4.393 8.877 9.886
angles: 103.20 102.84 90.00
Last column: magnetic moment on the atom in μB.
Positions (direct):
Te  0.669  0.579  0.339  0.00
Sm  0.834  0.166  0.669  0.01
Tb  0.836  0.671  0.672  0.04
Te  0.331  0.421  0.661  0.00
Sm  0.500  0.500  0.000  0.00
Pu  0.500  0.000  0.000  5.57
Tb  0.164  0.329  0.328  0.04
Te  0.001  0.249  0.001  -0.03
Sm  0.166  0.834  0.331  0.01
Te  0.333  0.913  0.667  -0.01
Te  0.667  0.087  0.333  -0.01
Te  0.999  0.751  0.999  -0.03

Total DFT energy (no corrections) ... -0.22209 Ha/atom
E_form (uncorrected) ... -1.33 eV per atom
Total magnetization ... 6.09 μB per formula unit
D(E_F) ... 1.04 states/eV/atom

---

(4)
A geometry-optimized CuH2Rh2 structure. Source: Alexandria, functional GGA-PBE.

abc: 5.513 5.513 3.244
angles: 90.00 90.00 90.00
Positions (direct):
Rh  0.328  0.172  0.500
Rh  0.672  0.828  0.500
H  0.258  0.758  0.000
Rh  0.172  0.672  0.500
H  0.758  0.742  0.000
H  0.742  0.242  0.000
Rh  0.828  0.328  0.500
Cu  0.000  0.000  0.000
H  0.242  0.258  0.000
Cu  0.500  0.500  0.000

E above lowest polymorph ... 117 meV per atom
Total DFT energy (no corrections) ... -0.18163 Ha/atom
Total magnetization ... 0.00 μB per formula unit
D(E_F) ... 0.74 states/eV/atom

---

Question: Look up the total DFT energy (no corrections) of the third one.
Answer: -0.22209 Ha/atom

---

Question: Which of these has the highest total DFT energy (no corrections)?
Answer: CuH2Rh2

---

Question: Look up the D(E_F) of the second one.
Answer: 1.05 states/eV/atom